Here is crystalline Tl2Zn2Pd5Au at its relaxed geometry from the Alexandria database. Energies are from PBE.

Lattice parameters (Å, degrees): 3.881 9.518 9.518 90.00 90.00 90.00
Sites, in units of the cell vectors:
Tl  0.000  0.673  0.173
Tl  0.000  0.327  0.827
Tl  0.000  0.173  0.327
Tl  0.000  0.827  0.673
Zn  0.000  0.125  0.625
Zn  0.000  0.875  0.375
Zn  0.000  0.625  0.875
Zn  0.000  0.375  0.125
Pd  0.500  0.201  0.080
Pd  0.500  0.799  0.920
Pd  0.500  0.080  0.799
Pd  0.500  0.701  0.420
Pd  0.500  0.920  0.201
Pd  0.500  0.299  0.580
Pd  0.500  0.580  0.701
Pd  0.500  0.420  0.299
Pd  0.500  0.500  0.000
Pd  0.500  0.000  0.500
Au  0.000  0.000  0.000
Au  0.000  0.500  0.500


Here is crystalline NdYCdAg at its relaxed geometry from the Alexandria database. Energies are from PBE.

Lattice parameters (Å, degrees): 5.311 5.311 5.311 60.00 60.00 60.00
Sites, in units of the cell vectors:
Y  0.750  0.750  0.750
Nd  0.250  0.250  0.250
Ag  0.500  0.500  0.500
Cd  0.000  0.000  0.000

Values from the calculation:
Polymorph energy (0 for the lowest one) (meV per atom): 10.0


Here is crystalline CeGdPd4 at its relaxed geometry from the Alexandria database. Energies are from PBE.

Lattice parameters (Å, degrees): 5.484 5.484 5.484 60.00 60.00 60.00
Sites, in units of the cell vectors:
Gd  0.250  0.250  0.250
Pd  0.625  0.625  0.126
Pd  0.625  0.126  0.625
Pd  0.625  0.625  0.625
Pd  0.126  0.625  0.625
Ce  0.000  0.000  0.000


Calculated energy of formation, -0.2020 -0.2973 -0.7393 eV per atom (same order as the records).